Below is crystalline Pm5Tl4Rh at its relaxed geometry, with properties calculated at the GGA-PBE level.

## Properties
Total energy = -43.39 eV per cell
Size of the total moment = 0.0 Bohr magnetons per cell
Calculated volume = 305 Å³/cell

Cell lengths 5.9649, 7.7521, 7.7521 Å; angles 81.49, 67.37, 67.37 degrees
Fractional coordinates of all 10 atoms:
Pm1 0.8763 0.3634 0.8864
Pm2 0.2397 0.8864 0.6366
Pm3 0.7627 0.1136 0.3634
Pm4 0.1261 0.6366 0.1136
Pm5 0.5005 0.0000 0.0000
Tl1 0.4427 0.4061 0.7108
Tl2 0.8488 0.7108 0.5939
Tl3 0.1535 0.2892 0.4061
Tl4 0.5596 0.5939 0.2892
Rh1 0.0005 0.0000 0.0000

---

Below is crystalline Pm6Tl3Rh at its relaxed geometry, with properties calculated at the GGA-PBE level.

## Properties
Total energy = -92.19 eV per cell
Size of the total moment = 0.0 Bohr magnetons per cell
Calculated volume = 609 Å³/cell

Cell lengths 3.7814, 11.5788, 14.6282 Å; angles 108.02, 90.00, 90.00 degrees
Fractional coordinates of all 20 atoms:
Pm1 0.7500 0.5005 0.6778
Pm2 0.2500 0.4995 0.3222
Pm3 0.7500 0.8803 0.1405
Pm4 0.2500 0.1197 0.8595
Pm5 0.7500 0.4040 0.0838
Pm6 0.2500 0.5960 0.9162
Pm7 0.7500 0.7725 0.3440
Pm8 0.2500 0.2275 0.6560
Pm9 0.7500 0.0983 0.4317
Pm10 0.2500 0.9017 0.5683
Pm11 0.7500 0.8246 0.7621
Pm12 0.2500 0.1754 0.2379
Tl1 0.7500 0.3598 0.8487
Tl2 0.2500 0.6402 0.1513
Tl3 0.7500 0.6415 0.5201
Tl4 0.2500 0.3585 0.4799
Tl5 0.7500 0.1143 0.0474
Tl6 0.2500 0.8857 0.9526
Rh1 0.7500 0.0520 0.6970
Rh2 0.2500 0.9480 0.3030

---

Below is crystalline Pm5TlRh2 at its relaxed geometry, with properties calculated at the GGA-PBE level.

## Properties
Total energy = -90.04 eV per cell
Size of the total moment = 0.0 Bohr magnetons per cell
Calculated volume = 442 Å³/cell

Cell lengths 7.9585, 7.9585, 8.9589 Å; angles 116.37, 116.37, 90.00 degrees
Fractional coordinates of all 16 atoms:
Pm1 0.5278 0.7047 0.7325
Pm2 0.7953 0.9722 0.2675
Pm3 0.0000 0.0000 0.0000
Pm4 0.5000 0.5000 0.0000
Pm5 0.2047 0.0278 0.7325
Pm6 0.7047 0.2047 0.7325
Pm7 0.0278 0.5278 0.7325
Pm8 0.2953 0.7953 0.2675
Pm9 0.9722 0.4722 0.2675
Pm10 0.4722 0.2953 0.2675
Tl1 0.7500 0.7500 0.5000
Tl2 0.2500 0.2500 0.5000
Rh1 0.1376 0.3624 0.0000
Rh2 0.6376 0.1376 0.0000
Rh3 0.3624 0.8624 0.0000
Rh4 0.8624 0.6376 0.0000

---

Below is crystalline Pm3Tl3Rh2 at its relaxed geometry, with properties calculated at the GGA-PBE level.

## Properties
Total energy = -39.80 eV per cell
Size of the total moment = 0.0 Bohr magnetons per cell
Calculated volume = 205 Å³/cell

Cell lengths 4.7036, 5.2589, 8.7745 Å; angles 100.94, 105.55, 90.00 degrees
Fractional coordinates of all 8 atoms:
Pm1 0.1706 0.5985 0.3412
Pm2 0.8294 0.4015 0.6588
Pm3 0.0000 0.0000 0.0000
Tl1 0.6327 0.0795 0.2654
Tl2 0.5000 0.5000 0.0000
Tl3 0.3673 0.9205 0.7346
Rh1 0.2203 0.1300 0.4406
Rh2 0.7797 0.8700 0.5594

---

Below is crystalline PmTlRh at its relaxed geometry, with properties calculated at the GGA-PBE level.

## Properties
Total energy = -31.26 eV per cell
Size of the total moment = 0.0 Bohr magnetons per cell
Calculated volume = 142 Å³/cell

Cell lengths 4.3877, 4.3825, 7.3992 Å; angles 90.00, 90.00, 90.00 degrees
Fractional coordinates of all 6 atoms:
Pm1 0.0229 0.8378 0.6667
Pm2 0.5229 0.3378 0.3802
Tl1 0.0229 0.3378 0.0253
Tl2 0.5229 0.8378 0.0216
Rh1 0.5230 0.3377 0.7544
Rh2 0.0229 0.8380 0.2925

---

Below is crystalline PmTlRh at its relaxed geometry, with properties calculated at the GGA-PBE level.

## Properties
Total energy = -15.76 eV per cell
Size of the total moment = 0.0 Bohr magnetons per cell
Calculated volume = 77 Å³/cell

Cell lengths 4.7720, 4.7720, 4.7720 Å; angles 60.00, 60.00, 60.00 degrees
Fractional coordinates of all 3 atoms:
Tl1 0.5000 0.5000 0.5000
Rh1 0.2500 0.2500 0.2500
Pm1 0.0000 0.0000 0.0000

---

Below is crystalline Pm3TlRh3 at its relaxed geometry, with properties calculated at the GGA-PBE level.

## Properties
Total energy = -86.10 eV per cell
Size of the total moment = 0.0 Bohr magnetons per cell
Calculated volume = 322 Å³/cell

Cell lengths 4.4781, 5.7119, 13.6782 Å; angles 90.00, 90.00, 113.08 degrees
Fractional coordinates of all 14 atoms:
Pm1 0.1958 0.3916 0.8937
Pm2 0.8042 0.6084 0.1063
Pm3 0.1958 0.3916 0.6063
Pm4 0.8042 0.6084 0.3937
Pm5 0.4750 0.9501 0.7500
Pm6 0.5250 0.0499 0.2500
Tl1 0.5000 0.0000 0.0000
Tl2 0.5000 0.0000 0.5000
Rh1 0.9021 0.8041 0.9042
Rh2 0.0979 0.1959 0.0958
Rh3 0.9021 0.8041 0.5958
Rh4 0.0979 0.1959 0.4042
Rh5 0.7436 0.4871 0.7500
Rh6 0.2564 0.5129 0.2500

---

Below is crystalline Pm2TlRh3 at its relaxed geometry, with properties calculated at the GGA-PBE level.

## Properties
Total energy = -35.66 eV per cell
Size of the total moment = 0.0 Bohr magnetons per cell
Calculated volume = 132 Å³/cell

Cell lengths 4.7608, 5.5503, 6.1788 Å; angles 116.69, 112.66, 90.00 degrees
Fractional coordinates of all 6 atoms:
Pm1 0.6793 0.1793 0.3586
Pm2 0.3207 0.8207 0.6414
Tl1 0.0000 0.5000 0.0000
Rh1 0.3579 0.3579 0.7158
Rh2 0.0000 0.0000 0.0000
Rh3 0.6421 0.6421 0.2842

---

Below is crystalline Pm5TlRh4 at its relaxed geometry, with properties calculated at the GGA-PBE level.

## Properties
Total energy = -61.68 eV per cell
Size of the total moment = 0.0 Bohr magnetons per cell
Calculated volume = 234 Å³/cell

Cell lengths 3.5158, 3.5158, 18.9085 Å; angles 90.00, 90.00, 90.00 degrees
Fractional coordinates of all 10 atoms:
Pm1 0.5000 0.5000 0.1285
Pm2 0.5000 0.5000 0.3131
Pm3 0.5000 0.5000 0.5000
Pm4 0.5000 0.5000 0.6869
Pm5 0.5000 0.5000 0.8715
Tl1 0.0000 0.0000 0.0000
Rh1 0.0000 0.0000 0.2188
Rh2 0.0000 0.0000 0.4065
Rh3 0.0000 0.0000 0.5935
Rh4 0.0000 0.0000 0.7812

---

Below is crystalline Pm4TlRh at its relaxed geometry, with properties calculated at the GGA-PBE level.

## Properties
Total energy = -62.02 eV per cell
Size of the total moment = 0.0 Bohr magnetons per cell
Calculated volume = 355 Å³/cell

Cell lengths 6.1538, 8.5114, 8.3686 Å; angles 113.96, 103.07, 106.17 degrees
Fractional coordinates of all 12 atoms:
Pm1 0.0433 0.2043 0.8593
Pm2 0.7784 0.7030 0.6353
Pm3 0.3161 0.6551 0.8593
Pm4 0.3568 0.9323 0.6353
Pm5 0.6432 0.0677 0.3647
Pm6 0.6839 0.3449 0.1407
Pm7 0.2216 0.2970 0.3647
Pm8 0.9567 0.7957 0.1407
Tl1 0.3722 0.6222 0.2444
Tl2 0.6278 0.3778 0.7556
Rh1 0.2490 0.9990 0.9980
Rh2 0.7510 0.0010 0.0020

---

Below is crystalline PmTlRh at its relaxed geometry, with properties calculated at the GGA-PBE level.

## Properties
Total energy = -96.53 eV per cell
Size of the total moment = 0.0 Bohr magnetons per cell
Calculated volume = 419 Å³/cell

Cell lengths 3.9246, 7.9427, 13.4269 Å; angles 90.00, 90.00, 90.00 degrees
Fractional coordinates of all 18 atoms:
Pm1 0.0000 0.2231 0.9532
Pm2 0.0000 0.7769 0.0468
Pm3 0.0000 0.2231 0.5468
Pm4 0.0000 0.7769 0.4532
Pm5 0.0000 0.1551 0.2500
Pm6 0.0000 0.8449 0.7500
Tl1 0.5000 0.4277 0.1165
Tl2 0.5000 0.5723 0.8835
Tl3 0.5000 0.4277 0.3835
Tl4 0.5000 0.5723 0.6165
Tl5 0.5000 0.8110 0.2500
Tl6 0.5000 0.1890 0.7500
Rh1 0.5000 0.0616 0.0962
Rh2 0.5000 0.9384 0.9038
Rh3 0.5000 0.0616 0.4038
Rh4 0.5000 0.9384 0.5962
Rh5 0.0000 0.5556 0.2500
Rh6 0.0000 0.4444 0.7500

---

Below is crystalline Pm12TlRh5 at its relaxed geometry, with properties calculated at the GGA-PBE level.

## Properties
Total energy = -105.40 eV per cell
Size of the total moment = 0.0 Bohr magnetons per cell
Calculated volume = 495 Å³/cell

Cell lengths 8.6445, 8.6445, 8.6445 Å; angles 105.25, 112.04, 111.20 degrees
Fractional coordinates of all 18 atoms:
Pm1 0.5348 0.8220 0.7128
Pm2 0.4652 0.1780 0.2872
Pm3 0.8909 0.1780 0.7128
Pm4 0.1091 0.8220 0.2872
Pm5 0.6923 0.6732 0.3656
Pm6 0.3077 0.3268 0.6344
Pm7 0.3077 0.6732 0.9809
Pm8 0.6923 0.3268 0.0191
Pm9 0.8117 0.5895 0.7778
Pm10 0.1883 0.4105 0.2222
Pm11 0.1883 0.9662 0.7778
Pm12 0.8117 0.0338 0.2222
Tl1 0.0000 0.5000 0.5000
Rh1 0.6582 0.6582 0.0000
Rh2 0.3418 0.3418 0.0000
Rh3 0.5000 0.1305 0.6305
Rh4 0.5000 0.8695 0.3695
Rh5 0.0000 0.0000 0.0000

---

Below is crystalline PmTlRh at its relaxed geometry, with properties calculated at the GGA-PBE level.

## Properties
Total energy = -15.55 eV per cell
Size of the total moment = 0.0 Bohr magnetons per cell
Calculated volume = 69 Å³/cell

Cell lengths 3.5426, 3.5426, 6.0479 Å; angles 107.03, 107.03, 90.00 degrees
Fractional coordinates of all 3 atoms:
Tl1 0.6387 0.6387 0.2774
Rh1 0.2816 0.2816 0.5631
Pm1 0.9297 0.9297 0.8595

---

Below is crystalline Pm12TlRh6 at its relaxed geometry, with properties calculated at the GGA-PBE level.

## Properties
Total energy = -112.50 eV per cell
Size of the total moment = 0.0 Bohr magnetons per cell
Calculated volume = 540 Å³/cell

Cell lengths 8.8041, 8.8041, 8.8041 Å; angles 108.69, 108.69, 108.69 degrees
Fractional coordinates of all 19 atoms:
Pm1 0.8475 0.6042 0.5452
Pm2 0.5452 0.8475 0.6042
Pm3 0.6042 0.5452 0.8475
Pm4 0.1525 0.3958 0.4548
Pm5 0.4548 0.1525 0.3958
Pm6 0.3958 0.4548 0.1525
Pm7 0.0378 0.8586 0.3320
Pm8 0.1414 0.6680 0.9622
Pm9 0.6680 0.9622 0.1414
Pm10 0.9622 0.1414 0.6680
Pm11 0.8586 0.3320 0.0378
Pm12 0.3320 0.0378 0.8586
Tl1 0.0000 0.0000 0.0000
Rh1 0.7171 0.7897 0.3634
Rh2 0.6366 0.2829 0.2103
Rh3 0.2103 0.6366 0.2829
Rh4 0.2829 0.2103 0.6366
Rh5 0.3634 0.7171 0.7897
Rh6 0.7897 0.3634 0.7171

---

Below is crystalline Pm3TlRh8 at its relaxed geometry, with properties calculated at the GGA-PBE level.

## Properties
Total energy = -81.62 eV per cell
Size of the total moment = 0.0 Bohr magnetons per cell
Calculated volume = 220 Å³/cell

Cell lengths 5.3623, 5.3623, 9.3766 Å; angles 73.38, 73.38, 60.00 degrees
Fractional coordinates of all 12 atoms:
Pm1 0.3757 0.3757 0.8728
Pm2 0.9953 0.9953 0.0140
Pm3 0.5041 0.5041 0.4878
Tl1 0.8737 0.8737 0.3790
Rh1 0.9384 0.4375 0.1867
Rh2 0.4382 0.9371 0.6877
Rh3 0.4375 0.4375 0.1867
Rh4 0.9371 0.9371 0.6877
Rh5 0.1880 0.1880 0.4361
Rh6 0.6877 0.6877 0.9370
Rh7 0.4375 0.9384 0.1867
Rh8 0.9371 0.4382 0.6877

---

Below is crystalline Pm8Tl2Rh at its relaxed geometry, with properties calculated at the GGA-PBE level.

## Properties
Total energy = -52.80 eV per cell
Size of the total moment = 0.0 Bohr magnetons per cell
Calculated volume = 329 Å³/cell

Cell lengths 5.6671, 9.3589, 9.3589 Å; angles 121.89, 107.65, 107.65 degrees
Fractional coordinates of all 11 atoms:
Pm1 0.7167 0.3911 0.1412
Pm2 0.7167 0.1412 0.3911
Pm3 0.1977 0.2480 0.2480
Pm4 0.9544 0.1981 0.8082
Pm5 0.9544 0.8082 0.1981
Pm6 0.7119 0.7591 0.7591
Pm7 0.1916 0.8646 0.6147
Pm8 0.1916 0.6147 0.8646
Tl1 0.4543 0.6887 0.3173
Tl2 0.4543 0.3173 0.6887
Rh1 0.4560 0.0029 0.0029

---

Below is crystalline Pm5Tl4Rh at its relaxed geometry, with properties calculated at the GGA-PBE level.

## Properties
Total energy = -45.06 eV per cell
Size of the total moment = 0.0 Bohr magnetons per cell
Calculated volume = 276 Å³/cell

Cell lengths 3.6047, 3.6047, 21.2605 Å; angles 90.00, 90.00, 90.00 degrees
Fractional coordinates of all 10 atoms:
Pm1 0.5000 0.5000 0.0796
Pm2 0.5000 0.5000 0.2917
Pm3 0.5000 0.5000 0.5000
Pm4 0.5000 0.5000 0.7083
Pm5 0.5000 0.5000 0.9204
Tl1 0.0000 0.0000 0.1885
Tl2 0.0000 0.0000 0.3959
Tl3 0.0000 0.0000 0.6041
Tl4 0.0000 0.0000 0.8115
Rh1 0.0000 0.0000 0.0000

---

Below is crystalline Pm12Tl6Rh at its relaxed geometry, with properties calculated at the GGA-PBE level.

## Properties
Total energy = -82.54 eV per cell
Size of the total moment = 0.0 Bohr magnetons per cell
Calculated volume = 615 Å³/cell

Cell lengths 8.5271, 8.5271, 8.5271 Å; angles 93.95, 93.95, 93.95 degrees
Fractional coordinates of all 19 atoms:
Pm1 0.7991 0.5738 0.4554
Pm2 0.4554 0.7991 0.5738
Pm3 0.5738 0.4554 0.7991
Pm4 0.2009 0.4262 0.5446
Pm5 0.5446 0.2009 0.4262
Pm6 0.4262 0.5446 0.2009
Pm7 0.9694 0.0888 0.3154
Pm8 0.9112 0.6846 0.0306
Pm9 0.6846 0.0306 0.9112
Pm10 0.0306 0.9112 0.6846
Pm11 0.0888 0.3154 0.9694
Pm12 0.3154 0.9694 0.0888
Tl1 0.6528 0.8616 0.2680
Tl2 0.7320 0.3472 0.1384
Tl3 0.1384 0.7320 0.3472
Tl4 0.3472 0.1384 0.7320
Tl5 0.2680 0.6528 0.8616
Tl6 0.8616 0.2680 0.6528
Rh1 0.0000 0.0000 0.0000

---

Below is crystalline PmTmRh4 at its relaxed geometry, with properties calculated at the GGA-PBE level.

## Properties
Total energy = -42.91 eV per cell
Size of the total moment = 0.0 Bohr magnetons per cell
Calculated volume = 108 Å³/cell

Cell lengths 5.3532, 5.3532, 5.3532 Å; angles 60.00, 60.00, 60.00 degrees
Fractional coordinates of all 6 atoms:
Tm1 0.2500 0.2500 0.2500
Rh1 0.6248 0.6248 0.1256
Rh2 0.6248 0.1256 0.6248
Rh3 0.6248 0.6248 0.6248
Rh4 0.1256 0.6248 0.6248
Pm1 0.0000 0.0000 0.0000

---

Below is crystalline Pm2Tm2Rh3 at its relaxed geometry, with properties calculated at the GGA-PBE level.

## Properties
Total energy = -45.16 eV per cell
Size of the total moment = 0.0 Bohr magnetons per cell
Calculated volume = 177 Å³/cell

Cell lengths 4.3685, 5.9389, 7.4503 Å; angles 99.20, 89.96, 111.55 degrees
Fractional coordinates of all 7 atoms:
Pm1 0.8678 0.7353 0.6450
Pm2 0.1322 0.2647 0.3550
Tm1 0.6387 0.2769 0.9314
Tm2 0.3613 0.7231 0.0686
Rh1 0.0000 0.0000 0.0000
Rh2 0.8069 0.6150 0.2642
Rh3 0.1931 0.3850 0.7358